[1]
Computed, not measured: a relaxed LiTlTc2 crystal at the PBE level of DFT.

Cell and atoms, written as extended XYZ:
```
4
Lattice="2.8741 0.0000 0.0000 0.0000 4.3593 0.0000 0.0000 0.0000 5.3044" Properties=species:S:1:pos:R:3 pbc="T T T"
Li 0.0000 0.0000 0.0000
Tl 0.0000 0.0000 2.6522
Tc 1.4371 2.1797 1.1230
Tc 1.4371 2.1797 4.1813
```

- Distance to the lowest polymorph of the same formula: 0.396 eV/atom
- Formation energy from the elements: 0.554 eV per atom
- Magnetic moment: 0.000 μB/atom
- E: -5.70 eV per atom
- Crystal system: orthorhombic
- Fermi-level density of states: 1.13 states/eV per atom

=====

[2]
Computed, not measured: a relaxed MgNbIn2 crystal at the PBE level of DFT.

Cell and atoms, written as extended XYZ:
```
4
Lattice="4.4121 0.0000 0.0000 0.0000 4.4121 0.0000 0.0000 0.0000 4.1874" Properties=species:S:1:pos:R:3 pbc="T T T"
Mg 0.0000 0.0000 0.0000
Nb 2.2060 2.2060 0.0000
In 0.0000 2.2060 2.0937
In 2.2060 0.0000 2.0937
```

- Formation energy from the elements: 0.050 eV per atom
- Magnetic moment: 0.000 μB/atom
- E: -4.24 eV per atom
- Crystal system: tetragonal
- Fermi-level density of states: 0.51 states/eV per atom

=====

Copy entry 2 word for word.
Computed, not measured: a relaxed MgNbIn2 crystal at the PBE level of DFT.

Cell and atoms, written as extended XYZ:
```
4
Lattice="4.4121 0.0000 0.0000 0.0000 4.4121 0.0000 0.0000 0.0000 4.1874" Properties=species:S:1:pos:R:3 pbc="T T T"
Mg 0.0000 0.0000 0.0000
Nb 2.2060 2.2060 0.0000
In 0.0000 2.2060 2.0937
In 2.2060 0.0000 2.0937
```

- Formation energy from the elements: 0.050 eV per atom
- Magnetic moment: 0.000 μB/atom
- E: -4.24 eV per atom
- Crystal system: tetragonal
- Fermi-level density of states: 0.51 states/eV per atom